[1]
Mg3CuPd6: optimized geometry, PBE.

abc: 7.286 7.286 7.286
angles: 106.78 106.78 106.78
Element x y z (fractional)
Mg 0.044 0.295 0.407
Mg 0.295 0.407 0.044
Mg 0.407 0.044 0.295
Mg 0.593 0.956 0.705
Mg 0.705 0.593 0.956
Mg 0.956 0.705 0.593
Cu 0.000 0.000 0.000
Cu 0.500 0.500 0.500
Pd 0.014 0.897 0.318
Pd 0.103 0.682 0.986
Pd 0.233 0.662 0.378
Pd 0.318 0.014 0.897
Pd 0.338 0.622 0.767
Pd 0.378 0.233 0.662
Pd 0.622 0.767 0.338
Pd 0.662 0.378 0.233
Pd 0.682 0.986 0.103
Pd 0.767 0.338 0.622
Pd 0.897 0.318 0.014
Pd 0.986 0.103 0.682

Results
ΔH_f (0 K) in kJ per mole of atoms: -44.7


[2]
Mg3CuPd6: optimized geometry, PBE.

abc: 7.475 4.535 9.757
angles: 90.00 110.14 90.00
Element x y z (fractional)
Mg 0.048 0.250 0.387
Mg 0.142 0.750 0.219
Mg 0.283 0.250 0.986
Mg 0.717 0.750 0.014
Mg 0.858 0.250 0.781
Mg 0.952 0.750 0.613
Cu 0.458 0.250 0.578
Cu 0.542 0.750 0.422
Pd 0.035 0.750 0.919
Pd 0.164 0.250 0.679
Pd 0.252 0.750 0.515
Pd 0.341 0.750 0.824
Pd 0.359 0.250 0.293
Pd 0.436 0.750 0.135
Pd 0.564 0.250 0.865
Pd 0.641 0.750 0.707
Pd 0.659 0.250 0.176
Pd 0.748 0.250 0.485
Pd 0.836 0.750 0.321
Pd 0.965 0.250 0.081

Results
ΔH_f (0 K) in kJ per mole of atoms: -50.1


no.,V (Å³/atom),excess energy over the best structure of this formula in the dataset (eV/atom)
1,16.20,0.0558
2,15.53,0.0000